A plane-wave DFT calculation with PBE was carried out for a relaxed structure of TlRe2Rh.

Cell: 5.1213 5.1213 2.8558 Å, 90.00 90.00 118.08°
Atoms (fractional coordinates):
Tl  0.5000  0.5000  0.5000
Re  0.5000  0.0000  0.0000
Re  0.0000  0.5000  0.0000
Rh  0.0000  0.0000  0.5000

Computed properties:
formation energy from the elements	305	kJ/mol of formula units
polymorph energy (0 for the lowest one)	1.86	eV/f.u.

A plane-wave DFT calculation with PBE was carried out for a relaxed structure of Y2MnBr.

Cell: 3.6087 6.1511 4.7868 Å, 90.00 90.00 90.00°
Atoms (fractional coordinates):
Br  0.5000  0.0000  0.5000
Mn  0.0000  0.5000  0.5000
Y  0.0000  0.0000  0.0000
Y  0.5000  0.5000  0.0000

Computed properties:
polymorph energy (0 for the lowest one)	1.78	eV/f.u.

A plane-wave DFT calculation with PBE was carried out for a relaxed structure of PmErIn4.

Cell: 3.4589 10.4567 18.1175 Å, 90.00 90.00 90.00°
Atoms (fractional coordinates):
Pm  0.0000  0.5785  0.3656
Pm  0.0000  0.4215  0.6344
Pm  0.0000  0.0785  0.1344
Pm  0.0000  0.9215  0.8656
Er  0.0000  0.6176  0.0735
Er  0.0000  0.3824  0.9265
Er  0.0000  0.1176  0.4265
Er  0.0000  0.8824  0.5735
In  0.5000  0.7981  0.1909
In  0.5000  0.2019  0.8091
In  0.5000  0.2981  0.3091
In  0.5000  0.7019  0.6909
In  0.5000  0.8692  0.0281
In  0.5000  0.1308  0.9719
In  0.5000  0.3692  0.4719
In  0.5000  0.6308  0.5281
In  0.5000  0.8455  0.4187
In  0.5000  0.1545  0.5813
In  0.5000  0.3455  0.0813
In  0.5000  0.6545  0.9187
In  0.5000  0.0177  0.2882
In  0.5000  0.9823  0.7118
In  0.5000  0.5177  0.2118
In  0.5000  0.4823  0.7882

Computed properties:
formation energy from the elements	-181	kJ/mol of formula units
polymorph energy (0 for the lowest one)	0.20	eV/f.u.

A plane-wave DFT calculation with PBE was carried out for a relaxed structure of La3Ce2DySe6.

Cell: 7.3292 7.3292 7.3673 Å, 99.57 99.57 120.06°
Atoms (fractional coordinates):
La  0.1684  0.8316  0.5000
La  0.8316  0.1684  0.5000
La  0.5000  0.5000  0.5000
Ce  0.3339  0.6661  0.0000
Ce  0.6661  0.3339  0.0000
Dy  0.0000  0.0000  0.0000
Se  0.9210  0.5937  0.7619
Se  0.7533  0.7533  0.2403
Se  0.0790  0.4063  0.2381
Se  0.5937  0.9210  0.7619
Se  0.2467  0.2467  0.7597
Se  0.4063  0.0790  0.2381

Computed properties:
uncorrected energy	-6.245	eV per atom

A plane-wave DFT calculation with PBE was carried out for a relaxed structure of Pm3Pr2YSe6.

Cell: 4.1853 8.4514 9.3785 Å, 102.75 102.89 90.00°
Atoms (fractional coordinates):
Pm  0.5000  0.5000  0.0000
Pm  0.8297  0.1666  0.6594
Pm  0.1703  0.8334  0.3406
Pr  0.8319  0.6644  0.6638
Pr  0.1681  0.3356  0.3362
Y  0.5000  0.0000  0.0000
Se  0.3377  0.9230  0.6753
Se  0.6645  0.5864  0.3290
Se  0.6623  0.0770  0.3247
Se  0.9977  0.2415  0.9953
Se  0.0023  0.7585  0.0047
Se  0.3355  0.4136  0.6710

Computed properties:
uncorrected energy	-6.090	eV per atom

A plane-wave DFT calculation with PBE was carried out for a relaxed structure of Tb3HoN.

Cell: 4.9789 4.9789 4.9789 Å, 90.00 90.00 90.00°
Atoms (fractional coordinates):
Tb  0.0000  0.5000  0.0000
Tb  0.0000  0.0000  0.5000
Tb  0.5000  0.0000  0.0000
Ho  0.5000  0.5000  0.5000
N  0.0000  0.0000  0.0000

Computed properties:
uncorrected energy	-5.877	eV per atom

A plane-wave DFT calculation with PBE was carried out for a relaxed structure of MnAlCo2Se.

Cell: 4.2798 4.4042 4.2798 Å, 90.00 90.00 90.00°
Atoms (fractional coordinates):
Mn  0.0000  0.0000  0.0000
Co  0.0000  0.0000  0.5000
Co  0.5000  0.0000  0.0000
Al  0.5000  0.5000  0.5000
Se  0.0000  0.5000  0.0000

Computed properties:
uncorrected energy	-5.255	eV per atom

A plane-wave DFT calculation with PBE was carried out for a relaxed structure of PaAlBO6.

Cell: 4.6781 4.7279 4.7279 Å, 120.00 90.00 90.00°
Atoms (fractional coordinates):
Pa  0.0000  0.3333  0.6667
Al  0.5000  0.6667  0.3333
B  0.5000  0.0000  0.0000
O  0.7120  0.7123  0.6931
O  0.7120  0.3069  0.0192
O  0.7120  0.9808  0.2877
O  0.2880  0.3069  0.2877
O  0.2880  0.7123  0.0192
O  0.2880  0.9808  0.6931

Computed properties:
uncorrected energy	-7.933	eV per atom

A plane-wave DFT calculation with PBE was carried out for a relaxed structure of NaVGe2Os.

Cell: 4.6890 4.4734 4.6890 Å, 90.00 90.00 90.00°
Atoms (fractional coordinates):
Na  0.0000  0.0000  0.0000
Ge  0.0000  0.0000  0.5000
Ge  0.5000  0.0000  0.0000
Os  0.5000  0.5000  0.5000
V  0.0000  0.5000  0.0000

Computed properties:
formation energy from the elements	986	kJ/mol of formula units

A plane-wave DFT calculation with PBE was carried out for a relaxed structure of Ba2MnPd.

Cell: 5.6535 5.6535 5.6535 Å, 60.00 60.00 60.00°
Atoms (fractional coordinates):
Mn  0.0000  0.0000  0.0000
Ba  0.2500  0.2500  0.2500
Ba  0.7500  0.7500  0.7500
Pd  0.5000  0.5000  0.5000

Computed properties:
formation energy from the elements	71	kJ/mol of formula units
polymorph energy (0 for the lowest one)	0.00	eV/f.u.

A plane-wave DFT calculation with PBE was carried out for a relaxed structure of SrSe2I.

Cell: 5.6860 5.6860 5.6860 Å, 57.08 57.08 57.08°
Atoms (fractional coordinates):
I  0.5000  0.5000  0.5000
Sr  0.0000  0.0000  0.0000
Se  0.7854  0.7854  0.7854
Se  0.2146  0.2146  0.2146

Computed properties:
polymorph energy (0 for the lowest one)	0.97	eV/f.u.

A plane-wave DFT calculation with PBE was carried out for a relaxed structure of SrMg9Ir2.

Cell: 7.7062 9.0967 9.0967 Å, 79.66 64.94 64.94°
Atoms (fractional coordinates):
Sr  0.5000  0.0000  0.0000
Sr  0.2500  0.5000  0.5000
Mg  0.7500  0.5000  0.5000
Mg  0.0000  0.0000  0.0000
Mg  0.0236  0.9244  0.6788
Mg  0.6268  0.0756  0.3212
Mg  0.6980  0.1788  0.5756
Mg  0.4524  0.8212  0.4244
Mg  0.7264  0.8212  0.5756
Mg  0.1232  0.1788  0.4244
Mg  0.0520  0.9244  0.3212
Mg  0.2976  0.0756  0.6788
Mg  0.7264  0.5756  0.8212
Mg  0.1232  0.4244  0.1788
Mg  0.0520  0.3212  0.9244
Mg  0.2976  0.6788  0.0756
Mg  0.0236  0.6788  0.9244
Mg  0.6268  0.3212  0.0756
Mg  0.6980  0.5756  0.1788
Mg  0.4524  0.4244  0.8212
Ir  0.8750  0.2500  0.7500
Ir  0.8750  0.7500  0.2500
Ir  0.8750  0.2500  0.2500
Ir  0.3750  0.7500  0.7500

Computed properties:
formation energy from the elements	-264	kJ/mol of formula units

A plane-wave DFT calculation with PBE was carried out for a relaxed structure of TbYHN.

Cell: 3.7304 3.7304 6.0789 Å, 90.00 90.00 120.00°
Atoms (fractional coordinates):
Tb  0.6667  0.3333  0.6239
Y  0.3333  0.6667  0.1332
H  0.6667  0.3333  0.0007
N  0.3333  0.6667  0.4922

Computed properties:
uncorrected energy	-6.596	eV per atom

A plane-wave DFT calculation with PBE was carried out for a relaxed structure of Hf3Zn2Ru.

Cell: 4.6342 4.6342 5.7256 Å, 90.00 90.00 120.00°
Atoms (fractional coordinates):
Hf  0.0000  0.0000  0.5000
Hf  0.6667  0.3333  0.8341
Hf  0.3333  0.6667  0.1659
Zn  0.6667  0.3333  0.3290
Zn  0.3333  0.6667  0.6710
Ru  0.0000  0.0000  0.0000

Computed properties:
formation energy from the elements	-206	kJ/mol of formula units

A plane-wave DFT calculation with PBE was carried out for a relaxed structure of Tb3Hg3Pd2.

Cell: 3.7256 7.6092 7.6092 Å, 120.00 90.00 90.00°
Atoms (fractional coordinates):
Tb  0.5000  0.4096  0.4096
Tb  0.5000  0.5904  0.0000
Tb  0.5000  0.0000  0.5904
Hg  0.0000  0.7631  0.7631
Hg  0.0000  0.2369  0.0000
Hg  0.0000  0.0000  0.2369
Pd  0.0000  0.3333  0.6667
Pd  0.0000  0.6667  0.3333

Computed properties:
formation energy from the elements	-529	kJ/mol of formula units